Here is SrBe2Rh after structural relaxation from the Alexandria database. Energies are from PBE.

Cell and atoms, written as CIF:
```
data_SrBe2Rh
_chemical_formula_sum 'Sr2 Be4 Rh2'
_symmetry_space_group_name_H-M 'C 1 m 1'
_symmetry_Int_Tables_number 8
_symmetry_space_group_name_Hall 'C -2y'
_cell_length_a 6.767
_cell_length_b 3.909
_cell_length_c 5.972
_cell_angle_alpha 90.00
_cell_angle_beta 112.14
_cell_angle_gamma 90.00
loop_
_atom_site_label
_atom_site_fract_x
_atom_site_fract_y
_atom_site_fract_z
Sr1 0.000 0.000 0.000
Be1 0.000 0.500 0.507
Be2 0.179 0.000 0.545
Rh1 0.308 0.500 0.432
```

Calculated values
spin magnetization = 0.000 μB per atom
V = 18.29 Å³/atom
D(E_F) = 3.09 states/eV per cell
formation energy from the elements = -0.277 eV per atom
offset from the most stable computed form = 2 kJ/mol of formula units

***

Here is SrBeZn2Rh2 after structural relaxation from the Alexandria database. Energies are from PBE.

Cell and atoms, written as CIF:
```
data_SrBeZn2Rh2
_chemical_formula_sum 'Sr1 Be1 Zn2 Rh2'
_symmetry_space_group_name_H-M 'P 4/m m m'
_symmetry_Int_Tables_number 123
_symmetry_space_group_name_Hall '-P 4 2'
_cell_length_a 4.333
_cell_length_b 4.333
_cell_length_c 5.707
_cell_angle_alpha 90.00
_cell_angle_beta 90.00
_cell_angle_gamma 90.00
loop_
_atom_site_label
_atom_site_fract_x
_atom_site_fract_y
_atom_site_fract_z
Sr1 0.000 0.000 0.000
Be1 0.000 0.000 0.500
Zn1 0.500 0.500 0.245
Rh1 0.000 0.500 0.500
```

Calculated values
spin magnetization = 0.000 μB per atom
V = 17.86 Å³/atom
D(E_F) = 1.69 states/eV per cell
formation energy from the elements = -0.404 eV per atom